[1]
Here is KCrTe2 after structural relaxation from the Alexandria database. Energies are from PBE-GGA.

Lattice parameters (Å, degrees): 3.895 3.895 8.828 90.00 90.00 113.97
Element x y z (fractional)
1 K 0.000 0.000 0.000
2 Cr 0.000 0.000 0.500
3 Te 0.500 0.500 0.301
4 Te 0.500 0.500 0.699

Properties
Mass density = 4.70 g/cm3
Electronic total energy = -17.9 eV/cell


[2]
Here is AcGd2Be after structural relaxation from the Alexandria database. Energies are from PBE-GGA.

Lattice parameters (Å, degrees): 11.866 11.866 11.866 17.60 17.60 17.60
Element x y z (fractional)
1 Ac 0.000 0.000 0.000
2 Gd 0.419 0.419 0.419
3 Gd 0.581 0.581 0.581
4 Be 0.500 0.500 0.500

Properties
Mass density = 6.86 g/cm3
Formation enthalpy at 0 K = 0.763 eV/atom


[3]
Here is AcCdF4 after structural relaxation from the Alexandria database. Energies are from PBE-GGA.

Lattice parameters (Å, degrees): 7.202 7.202 5.184 107.59 107.59 111.01
Element x y z (fractional)
1 Ac 0.138 0.862 0.750
2 Ac 0.862 0.138 0.250
3 Cd 0.439 0.561 0.250
4 Cd 0.561 0.439 0.750
5 F 0.119 0.215 0.755
6 F 0.138 0.537 0.366
7 F 0.215 0.119 0.255
8 F 0.463 0.862 0.134
9 F 0.537 0.138 0.866
10 F 0.785 0.881 0.745
11 F 0.862 0.463 0.634
12 F 0.881 0.785 0.245

Properties
Mass density = 6.50 g/cm3
Electronic total energy = -63.7 eV/cell


[4]
Here is PuGa3 after structural relaxation from the Alexandria database. Energies are from PBE-GGA.

Lattice parameters (Å, degrees): 4.821 4.821 4.821 60.00 60.00 60.00
Element x y z (fractional)
1 Pu 0.000 0.000 0.000
2 Ga 0.250 0.250 0.250
3 Ga 0.500 0.500 0.500
4 Ga 0.750 0.750 0.750

Properties
Mass density = 9.49 g/cm3
Formation enthalpy at 0 K = -0.197 eV/atom


[5]
Here is Ac6PmSn5 after structural relaxation from the Alexandria database. Energies are from PBE-GGA.

Lattice parameters (Å, degrees): 7.792 7.792 7.953 97.00 97.00 103.94
Element x y z (fractional)
1 Ac 0.029 0.396 0.719
2 Ac 0.191 0.191 0.202
3 Ac 0.396 0.029 0.719
4 Ac 0.604 0.971 0.281
5 Ac 0.809 0.809 0.798
6 Ac 0.971 0.604 0.281
7 Pm 0.500 0.500 0.000
8 Sn 0.000 0.000 0.500
9 Sn 0.224 0.776 0.000
10 Sn 0.383 0.617 0.500
11 Sn 0.617 0.383 0.500
12 Sn 0.776 0.224 0.000

Properties
Mass density = 7.59 g/cm3
Formation enthalpy at 0 K = -0.448 eV/atom


[6]
Here is BeZnBr3 after structural relaxation from the Alexandria database. Energies are from PBE-GGA.

Lattice parameters (Å, degrees): 4.867 4.867 4.867 90.00 90.00 90.00
Element x y z (fractional)
1 Be 0.000 0.000 0.000
2 Zn 0.500 0.500 0.500
3 Br 0.000 0.000 0.500
4 Br 0.000 0.500 0.000
5 Br 0.500 0.000 0.000

Properties
Mass density = 4.53 g/cm3
Electronic total energy = -10.9 eV/cell


[7]
Here is Li2AcTmF8 after structural relaxation from the Alexandria database. Energies are from PBE-GGA.

Lattice parameters (Å, degrees): 4.879 4.879 7.833 90.94 90.94 76.48
Element x y z (fractional)
1 Li 0.097 0.097 0.272
2 Li 0.903 0.903 0.728
3 Ac 0.500 0.500 0.000
4 Tm 0.500 0.500 0.500
5 F 0.192 0.192 0.046
6 F 0.225 0.225 0.477
7 F 0.283 0.714 0.726
8 F 0.286 0.717 0.274
9 F 0.714 0.283 0.726
10 F 0.717 0.286 0.274
11 F 0.775 0.775 0.523
12 F 0.808 0.808 0.954

Properties
Mass density = 5.15 g/cm3
Electronic total energy = -71.6 eV/cell


[8]
Here is K3Nd2ZrTe6 after structural relaxation from the Alexandria database. Energies are from PBE-GGA.

Lattice parameters (Å, degrees): 7.748 7.748 8.706 98.57 98.57 120.03
Element x y z (fractional)
1 K 0.000 0.000 0.000
2 K 0.327 0.673 0.000
3 K 0.673 0.327 0.000
4 Nd 0.166 0.834 0.500
5 Nd 0.834 0.166 0.500
6 Zr 0.500 0.500 0.500
7 Te 0.115 0.430 0.289
8 Te 0.257 0.257 0.712
9 Te 0.430 0.115 0.289
10 Te 0.570 0.885 0.711
11 Te 0.743 0.743 0.288
12 Te 0.885 0.570 0.711

Properties
Mass density = 4.85 g/cm3
Electronic total energy = -55.1 eV/cell